(1)
Compound: RbNa2Cl2
Source: the Alexandria database
Functional: PBE
Structure: relaxed

Structure (extended XYZ):
```
10
Lattice="-8.490 -0.091 1.440 0.702 -7.770 3.646 0.624 1.838 3.797" Properties=species:S:1:pos:R:3 pbc="T T T"
Cl -2.370 -6.632 3.600
Cl -1.033 -2.729 1.491
Cl -6.755 -5.133 3.595
Cl -5.418 -1.230 1.486
Na -2.671 -0.181 2.921
Na -6.758 -1.978 4.464
Na -4.493 -5.843 5.962
Na -0.406 -4.045 4.420
Rb 0.000 0.000 0.000
Rb -3.894 -3.931 2.543
```

Values from the calculation:
Crystal system = tetragonal
Formation energy without anion corrections = -1179 meV per atom
Excess energy over the best structure of this formula in the dataset = 132.8 meV per atom
Volume = 316.3 Å³ per cell
Space-group type = P4/mbm (127)
D(E_F) = 1.0 states/eV/f.u.

(2)
Compound: Rb2NaCl3
Source: the Alexandria database
Functional: PBE
Structure: relaxed

Structure (extended XYZ):
```
24
Lattice="4.519 0.000 0.000 0.000 10.065 0.000 0.000 0.000 17.367" Properties=species:S:1:pos:R:3 pbc="T T T"
Cl 1.130 6.495 16.082
Cl 3.389 1.246 4.371
Cl 3.389 3.570 1.285
Cl 3.389 8.602 7.399
Cl 3.389 0.746 15.942
Cl 3.389 6.278 4.313
Cl 1.130 9.319 1.424
Cl 1.130 1.462 9.968
Cl 1.130 3.787 13.054
Cl 1.130 8.819 12.996
Cl 3.389 5.778 10.107
Cl 1.130 4.287 7.259
Na 3.389 5.878 7.095
Na 1.130 9.219 15.778
Na 3.389 0.846 1.588
Na 1.130 4.186 10.271
Rb 1.130 3.224 16.285
Rb 1.130 8.795 4.798
Rb 1.130 8.257 9.765
Rb 3.389 6.302 13.481
Rb 3.389 6.840 1.082
Rb 3.389 1.808 7.601
Rb 1.130 3.763 3.885
Rb 3.389 1.270 12.569
```

Values from the calculation:
Crystal system = orthorhombic
Formation energy without anion corrections = -1871 meV per atom
Excess energy over the best structure of this formula in the dataset = 0.0 meV per atom
Volume = 789.8 Å³ per cell
Space-group type = Pnma (62)
D(E_F) = 0.0 states/eV/f.u.

(3)
Compound: RbNaCl
Source: the Alexandria database
Functional: PBE
Structure: relaxed

Structure (extended XYZ):
```
3
Lattice="4.368 0.000 0.000 -2.184 3.783 0.000 0.000 0.000 7.485" Properties=species:S:1:pos:R:3 pbc="T T T"
Rb 0.000 0.000 0.550
Na 0.000 2.522 4.217
Cl 2.184 1.261 2.718
```

Values from the calculation:
Crystal system = trigonal
Formation energy without anion corrections = -1123 meV per atom
Volume = 123.7 Å³ per cell
Space-group type = P3m1 (156)
D(E_F) = 0.8 states/eV/f.u.